## Na2MnTl3F9 (PBE+U)

Data for an optimized crystal structure of Na2MnTl3F9.

## Properties
- Total moment: 0.1983 μB per atom
- V: 16.8 Å³ per atom
- Symmetry: No. 164
- DFT total energy: -4.502 eV per atom

abc: 6.2242 6.2242 7.5107
angles: 90.00 90.00 120.00
Atoms (fractional coordinates):
Na 0.3333 0.6667 0.1911
Na 0.6667 0.3333 0.8089
Mn 0.0000 0.0000 0.5000
Tl 0.0000 0.0000 0.0000
Tl 0.3333 0.6667 0.7472
Tl 0.6667 0.3333 0.2528
F 0.0000 0.5000 0.0000
F 0.1401 0.2803 0.3568
F 0.1401 0.8599 0.3568
F 0.2803 0.1401 0.6432
F 0.5000 0.0000 0.0000
F 0.5000 0.5000 0.0000
F 0.7197 0.8599 0.3568
F 0.8599 0.1401 0.6432
F 0.8599 0.7197 0.6432